(1)
Below is Zr5Ge2 after structural relaxation, with properties calculated at the PBE-GGA level.

Summary:
Its crystal system is monoclinic. The value obtained for the formation energy is -0.532 eV/atom. The value obtained for the total energy is -7.96 eV/atom.

Cell lengths 5.5796, 7.4083, 7.7422 Å; angles 95.10, 111.12, 90.00 degrees
Sites, in units of the cell vectors:
Zr1 0.3533 0.1827 0.5421
Zr2 0.6511 0.2500 0.0000
Zr3 0.9503 0.9286 0.1846
Zr4 0.1888 0.6827 0.5421
Zr5 0.2342 0.4286 0.1846
Zr6 0.7658 0.5714 0.8154
Zr7 0.6467 0.8173 0.4579
Zr8 0.8112 0.3173 0.4579
Zr9 0.0497 0.0714 0.8154
Zr10 0.3489 0.7500 0.0000
Ge1 0.5701 0.9223 0.7933
Ge2 0.7767 0.5777 0.2067
Ge3 0.4299 0.0777 0.2067
Ge4 0.2233 0.4223 0.7933

(2)
Below is ZrGe after structural relaxation, with properties calculated at the PBE-GGA level.

Summary:
Its crystal system is cubic. The value obtained for the formation energy is 0.242 eV/atom. The value obtained for the total energy is -6.34 eV/atom.

Cell lengths 6.1435, 6.1435, 6.1435 Å; angles 90.00, 90.00, 90.00 degrees
Sites, in units of the cell vectors:
Zr1 0.5000 0.5000 0.0000
Zr2 0.0000 0.5000 0.5000
Zr3 0.0000 0.0000 0.0000
Zr4 0.5000 0.0000 0.5000
Ge1 0.2500 0.2500 0.2500
Ge2 0.2500 0.7500 0.7500
Ge3 0.7500 0.2500 0.7500
Ge4 0.7500 0.7500 0.2500

(3)
Below is Zr3Ge2 after structural relaxation, with properties calculated at the PBE-GGA level.

Summary:
Its crystal system is orthorhombic. The value obtained for the formation energy is -0.639 eV/atom. The value obtained for the total energy is -7.61 eV/atom.

Cell lengths 4.0367, 5.4601, 5.4601 Å; angles 67.89, 68.31, 68.31 degrees
Sites, in units of the cell vectors:
Ge1 0.5000 0.7070 0.2930
Ge2 0.5000 0.2930 0.7070
Zr1 0.2070 0.2930 0.2930
Zr2 0.7930 0.7070 0.7070
Zr3 0.0000 0.0000 0.0000

(4)
Below is H after structural relaxation, with properties calculated at the PBE-GGA level.

Summary:
Its crystal system is tetragonal. Its energy above the most stable polymorph in this dataset is 1.506 eV/atom. The value obtained for the total energy is -1.09 eV/atom.

Cell lengths 3.0989, 3.1238, 3.1238 Å; angles 90.00, 90.00, 90.00 degrees
Last column: magnetic moment on the atom in μB.
Sites, in units of the cell vectors:
H1 0.5000 0.0000 0.0000  0.39

(5)
Below is H after structural relaxation, with properties calculated at the PBE-GGA level.

Summary:
Its crystal system is cubic. Its energy above the most stable polymorph in this dataset is 1.496 eV/atom. The value obtained for the total energy is -1.10 eV/atom.

Cell lengths 3.3611, 3.3611, 3.3611 Å; angles 109.47, 109.47, 109.47 degrees
Last column: magnetic moment on the atom in μB.
Sites, in units of the cell vectors:
H1 0.0000 0.0000 0.0000  0.38

(6)
Below is H after structural relaxation, with properties calculated at the PBE-GGA level.

Summary:
Its crystal system is orthorhombic. Its energy above the most stable polymorph in this dataset is 1.514 eV/atom. The value obtained for the total energy is -1.08 eV/atom.

Cell lengths 6.2816, 6.0270, 10.6311 Å; angles 90.00, 90.00, 90.00 degrees
Last column: magnetic moment on the atom in μB.
Sites, in units of the cell vectors:
H1 0.3899 0.4513 0.2500  0.39
H2 0.6111 0.9523 0.2500  0.39
H3 0.1111 0.5477 0.7500  0.39
H4 0.3889 0.0477 0.7500  0.39
H5 0.6390 0.2499 0.4999  0.39
H6 0.8610 0.7499 0.4999  0.39
H7 0.1101 0.9513 0.2500  0.39
H8 0.8899 0.0487 0.7500  0.39
H9 0.6101 0.5487 0.7500  0.39
H10 0.3610 0.7501 0.9999  0.39
H11 0.6390 0.2499 0.0001  0.39
H12 0.3610 0.7501 0.5001  0.39
H13 0.8889 0.4523 0.2500  0.39
H14 0.1390 0.2501 0.9999  0.39
H15 0.8610 0.7499 0.0001  0.39
H16 0.1390 0.2501 0.5001  0.39

(7)
Below is H after structural relaxation, with properties calculated at the PBE-GGA level.

Summary:
Its crystal system is hexagonal. Its energy above the most stable polymorph in this dataset is 1.522 eV/atom. The value obtained for the total energy is -1.07 eV/atom.

Cell lengths 3.2644, 3.2644, 10.7579 Å; angles 90.00, 90.00, 120.00 degrees
Last column: magnetic moment on the atom in μB.
Sites, in units of the cell vectors:
H1 0.6667 0.3333 0.6153  0.39
H2 0.3333 0.6667 0.3847  0.39
H3 0.3333 0.6667 0.1153  0.39
H4 0.6667 0.3333 0.8847  0.39

(8)
Below is H after structural relaxation, with properties calculated at the PBE-GGA level.

Summary:
Its crystal system is tetragonal. Its energy above the most stable polymorph in this dataset is 1.523 eV/atom. The value obtained for the total energy is -1.07 eV/atom.

Cell lengths 11.1982, 11.1982, 3.1837 Å; angles 90.00, 90.00, 90.00 degrees
Last column: magnetic moment on the atom in μB.
Sites, in units of the cell vectors:
H1 0.8640 0.3972 0.0000  0.39
H2 0.8972 0.6360 0.5000  0.39
H3 0.8992 0.1602 0.5000  0.39
H4 0.1602 0.1008 0.5000  0.39
H5 0.8398 0.8992 0.5000  0.39
H6 0.1008 0.8398 0.5000  0.39
H7 0.6008 0.3398 0.0000  0.39
H8 0.3992 0.6602 0.0000  0.39
H9 0.1360 0.6028 0.0000  0.39
H10 0.6602 0.6008 0.0000  0.39
H11 0.6360 0.1028 0.5000  0.39
H12 0.3640 0.8972 0.5000  0.39
H13 0.3398 0.3992 0.0000  0.39
H14 0.3972 0.1360 0.0000  0.39
H15 0.6028 0.8640 0.0000  0.39
H16 0.1028 0.3640 0.5000  0.39

(9)
Below is H after structural relaxation, with properties calculated at the PBE-GGA level.

Summary:
Its crystal system is orthorhombic. Its energy above the most stable polymorph in this dataset is 1.511 eV/atom. The value obtained for the total energy is -1.08 eV/atom.

Cell lengths 8.2959, 6.8471, 7.1906 Å; angles 90.00, 90.00, 90.00 degrees
Last column: magnetic moment on the atom in μB.
Sites, in units of the cell vectors:
H1 0.2690 0.5002 0.2500  0.39
H2 0.2310 0.4998 0.7500  0.39
H3 0.5000 0.7501 0.9789  0.39
H4 0.5000 0.2501 0.5211  0.39
H5 0.2310 0.9997 0.7500  0.39
H6 0.5001 0.2503 0.9790  0.39
H7 0.7310 0.0002 0.2500  0.39
H8 0.9999 0.7497 0.4790  0.39
H9 0.7690 0.9998 0.7500  0.39
H10 0.7310 0.5003 0.2500  0.39
H11 0.7690 0.4997 0.7500  0.39
H12 0.4999 0.7503 0.5210  0.39
H13 0.0001 0.2497 0.0210  0.39
H14 0.2690 0.0003 0.2500  0.39
H15 0.0000 0.7499 0.0211  0.39
H16 0.0000 0.2499 0.4789  0.39

(10)
Below is H after structural relaxation, with properties calculated at the PBE-GGA level.

Summary:
Its crystal system is monoclinic. Its energy above the most stable polymorph in this dataset is 1.516 eV/atom. The value obtained for the total energy is -1.08 eV/atom.

Cell lengths 10.6760, 8.2501, 9.1797 Å; angles 80.13, 90.00, 90.00 degrees
Last column: magnetic moment on the atom in μB.
Sites, in units of the cell vectors:
H1 0.0378 0.9767 0.3220  0.39
H2 0.3627 0.7113 0.7756  0.39
H3 0.2350 0.7064 0.4294  0.39
H4 0.6558 0.5594 0.0035  0.39
H5 0.1998 0.7955 0.0813  0.39
H6 0.0746 0.7880 0.7316  0.39
H7 0.3985 0.5280 0.1820  0.39
H8 0.4959 0.8481 0.3820  0.39
H9 0.9381 0.6517 0.1133  0.39
H10 0.1558 0.4406 0.9965  0.39
H11 0.2627 0.0759 0.8298  0.39
H12 0.1743 0.4233 0.6746  0.39
H13 0.4381 0.3483 0.8867  0.39
H14 0.9362 0.6063 0.4754  0.39
H15 0.4994 0.8978 0.0243  0.39
H16 0.8985 0.4720 0.8180  0.39
H17 0.5378 0.0233 0.6780  0.39
H18 0.2997 0.1268 0.1686  0.39
H19 0.6743 0.5767 0.3254  0.39
H20 0.7350 0.2936 0.5706  0.39
H21 0.1347 0.3777 0.3363  0.39
H22 0.8627 0.2887 0.2244  0.39
H23 0.2787 0.0599 0.5081  0.39
H24 0.4362 0.3937 0.5246  0.39
H25 0.7787 0.9401 0.4919  0.39
H26 0.7997 0.8732 0.8314  0.39
H27 0.6998 0.2045 0.9187  0.39
H28 0.5746 0.2120 0.2684  0.39
H29 0.9959 0.1519 0.6180  0.39
H30 0.7627 0.9241 0.1702  0.39
H31 0.9994 0.1022 0.9757  0.39
H32 0.6347 0.6223 0.6637  0.39

(11)
Below is H after structural relaxation, with properties calculated at the PBE-GGA level.

Summary:
Its crystal system is hexagonal. Its energy above the most stable polymorph in this dataset is 1.524 eV/atom. The value obtained for the total energy is -1.07 eV/atom.

Cell lengths 3.1349, 3.1349, 2.9440 Å; angles 90.00, 90.00, 120.00 degrees
Last column: magnetic moment on the atom in μB.
Sites, in units of the cell vectors:
H1 0.0000 0.0000 0.5000  0.39

(12)
Below is H after structural relaxation, with properties calculated at the PBE-GGA level.

Summary:
Its crystal system is hexagonal. Its energy above the most stable polymorph in this dataset is 1.502 eV/atom. The value obtained for the total energy is -1.09 eV/atom.

Cell lengths 3.3862, 3.3862, 5.5275 Å; angles 90.00, 90.00, 120.00 degrees
Last column: magnetic moment on the atom in μB.
Sites, in units of the cell vectors:
H1 0.3333 0.6667 0.2500  0.38
H2 0.6667 0.3333 0.7500  0.38

(13)
Below is H after structural relaxation, with properties calculated at the PBE-GGA level.

Summary:
Its crystal system is cubic. Its energy above the most stable polymorph in this dataset is 1.536 eV/atom. The value obtained for the total energy is -1.06 eV/atom.

Cell lengths 8.5892, 8.5892, 8.5892 Å; angles 90.00, 90.00, 90.00 degrees
Last column: magnetic moment on the atom in μB.
Sites, in units of the cell vectors:
H1 0.6988 0.3012 0.3012  0.39
H2 0.3012 0.6988 0.3012  0.39
H3 0.1233 0.1233 0.8767  0.39
H4 0.6233 0.3767 0.6233  0.39
H5 0.3767 0.6233 0.6233  0.39
H6 0.8012 0.1988 0.8012  0.39
H7 0.8767 0.8767 0.8767  0.39
H8 0.1988 0.8012 0.8012  0.39
H9 0.1233 0.8767 0.1233  0.39
H10 0.3767 0.3767 0.3767  0.39
H11 0.3012 0.3012 0.6988  0.39
H12 0.8012 0.8012 0.1988  0.39
H13 0.8767 0.1233 0.1233  0.39
H14 0.6233 0.6233 0.3767  0.39
H15 0.6988 0.6988 0.6988  0.39
H16 0.1988 0.1988 0.1988  0.39

(14)
Below is H after structural relaxation, with properties calculated at the PBE-GGA level.

Summary:
Its crystal system is cubic. Its energy above the most stable polymorph in this dataset is 1.541 eV/atom. The value obtained for the total energy is -1.05 eV/atom.

Cell lengths 7.7737, 7.7737, 7.7737 Å; angles 90.00, 90.00, 90.00 degrees
Last column: magnetic moment on the atom in μB.
Sites, in units of the cell vectors:
H1 0.0000 0.5000 0.7500  0.39
H2 0.7500 0.0000 0.5000  0.39
H3 0.0000 0.7500 0.5000  0.39
H4 0.5000 0.2500 0.0000  0.39
H5 0.0000 0.2500 0.5000  0.39
H6 0.0000 0.5000 0.2500  0.39
H7 0.2500 0.5000 0.0000  0.39
H8 0.7500 0.5000 0.0000  0.39
H9 0.5000 0.7500 0.0000  0.39
H10 0.5000 0.0000 0.2500  0.39
H11 0.2500 0.0000 0.5000  0.39
H12 0.5000 0.0000 0.7500  0.39

(15)
Below is H after structural relaxation, with properties calculated at the PBE-GGA level.

Summary:
Its crystal system is triclinic. Its energy above the most stable polymorph in this dataset is 1.566 eV/atom. The value obtained for the total energy is -1.03 eV/atom.

Cell lengths 7.5232, 9.0966, 3.3190 Å; angles 93.69, 101.12, 127.92 degrees
Last column: magnetic moment on the atom in μB.
Sites, in units of the cell vectors:
H1 0.7779 0.4999 0.9166  0.39
H2 0.4447 0.1665 0.2496  0.39
H3 0.4435 0.8332 0.2484  0.39
H4 0.1102 0.8330 0.5828  0.39
H5 0.4450 0.5003 0.2516  0.39
H6 0.1121 0.1670 0.5847  0.39
H7 0.7774 0.8336 0.9186  0.39
H8 0.7781 0.1667 0.9152  0.39
H9 0.1112 0.4997 0.5826  0.39

(16)
Below is H after structural relaxation, with properties calculated at the PBE-GGA level.

Summary:
Its crystal system is hexagonal. Its energy above the most stable polymorph in this dataset is 1.526 eV/atom. The value obtained for the total energy is -1.07 eV/atom.

Cell lengths 8.0243, 8.0243, 2.9362 Å; angles 90.00, 90.00, 120.00 degrees
Last column: magnetic moment on the atom in μB.
Sites, in units of the cell vectors:
H1 0.5846 0.7245 0.5000  0.39
H2 0.7245 0.1399 0.5000  0.39
H3 0.8601 0.5846 0.5000  0.39
H4 0.1399 0.4154 0.5000  0.39
H5 0.2755 0.8601 0.5000  0.39
H6 0.4154 0.2755 0.5000  0.39

(17)
Below is H after structural relaxation, with properties calculated at the PBE-GGA level.

Summary:
Its crystal system is orthorhombic. Its energy above the most stable polymorph in this dataset is 1.521 eV/atom. The value obtained for the total energy is -1.07 eV/atom.

Cell lengths 5.7287, 5.7287, 3.0245 Å; angles 90.00, 90.00, 147.59 degrees
Last column: magnetic moment on the atom in μB.
Sites, in units of the cell vectors:
H1 0.3678 0.6322 0.0000  0.39
H2 0.6322 0.3678 0.0000  0.39

(18)
Below is H after structural relaxation, with properties calculated at the PBE-GGA level.

Summary:
Its crystal system is tetragonal. Its energy above the most stable polymorph in this dataset is 1.523 eV/atom. The value obtained for the total energy is -1.07 eV/atom.

Cell lengths 5.9639, 5.9639, 2.9451 Å; angles 90.00, 90.00, 90.00 degrees
Last column: magnetic moment on the atom in μB.
Sites, in units of the cell vectors:
H1 0.3123 0.1877 0.0000  0.39
H2 0.6877 0.8123 0.0000  0.39
H3 0.1877 0.6877 0.0000  0.39
H4 0.8123 0.3123 0.0000  0.39

(19)
Below is H after structural relaxation, with properties calculated at the PBE-GGA level.

Summary:
Its crystal system is cubic. Its energy above the most stable polymorph in this dataset is 0.000 eV/atom. The value obtained for the total energy is -2.59 eV/atom.

Cell lengths 2.0947, 2.0947, 2.0947 Å; angles 60.00, 60.00, 60.00 degrees
Sites, in units of the cell vectors:
H1 0.7500 0.7500 0.7500
H2 0.5000 0.5000 0.5000

(20)
Below is H after structural relaxation, with properties calculated at the PBE-GGA level.

Summary:
Its crystal system is cubic. Its energy above the most stable polymorph in this dataset is 1.503 eV/atom. The value obtained for the total energy is -1.09 eV/atom.

Cell lengths 3.3815, 3.3815, 3.3815 Å; angles 60.00, 60.00, 60.00 degrees
Last column: magnetic moment on the atom in μB.
Sites, in units of the cell vectors:
H1 0.0000 0.0000 0.0000  0.38

(21)
Below is HfH3 after structural relaxation, with properties calculated at the PBE-GGA level.

Summary:
Its crystal system is trigonal. The value obtained for the total energy is -5.36 eV/atom.

Cell lengths 5.8428, 5.8428, 5.8339 Å; angles 90.00, 90.00, 120.00 degrees
Sites, in units of the cell vectors:
Hf1 0.3340 0.3340 0.7500
Hf2 0.3340 0.0000 0.2500
Hf3 0.0000 0.6660 0.7500
Hf4 0.6660 0.6660 0.2500
Hf5 0.6660 0.0000 0.7500
Hf6 0.0000 0.3340 0.2500
H1 0.0000 0.0000 0.2500
H2 0.3392 0.0106 0.9053
H3 0.3333 0.6667 0.7768
H4 0.3333 0.6667 0.2768
H5 0.6608 0.9894 0.0947
H6 0.6608 0.6713 0.5947
H7 0.9894 0.6608 0.4053
H8 0.0000 0.0000 0.7500
H9 0.3287 0.3392 0.0947
H10 0.3392 0.3287 0.4053
H11 0.6667 0.3333 0.7232
H12 0.9894 0.3287 0.9053
H13 0.0106 0.3392 0.5947
H14 0.3287 0.9894 0.5947
H15 0.6713 0.6608 0.9053
H16 0.0106 0.6713 0.0947
H17 0.6713 0.0106 0.4053
H18 0.6667 0.3333 0.2232

(22)
Below is HfH5 after structural relaxation, with properties calculated at the PBE-GGA level.

Summary:
Its crystal system is triclinic. The value obtained for the total energy is -4.46 eV/atom.

Cell lengths 3.2261, 3.7607, 5.5612 Å; angles 137.90, 89.52, 115.77 degrees
Sites, in units of the cell vectors:
H1 0.7222 0.4445 0.4445
H2 0.4648 0.9348 0.8500
H3 0.9797 0.9541 0.0389
H4 0.9783 0.9601 0.3598
H5 0.4661 0.9288 0.5290
Hf1 0.2222 0.4444 0.9444

(23)
Below is HfH4 after structural relaxation, with properties calculated at the PBE-GGA level.

Summary:
Its crystal system is cubic. Its energy above the most stable polymorph in this dataset is 0.516 eV/atom. The value obtained for the total energy is -4.33 eV/atom.

Cell lengths 3.7278, 3.7278, 3.7278 Å; angles 90.00, 90.00, 90.00 degrees
Sites, in units of the cell vectors:
H1 0.5000 0.5000 0.0000
H2 0.5000 0.0000 0.5000
H3 0.0000 0.0000 0.0000
H4 0.0000 0.5000 0.5000
Hf1 0.5000 0.5000 0.5000